First-principles (PBE) data for a geometry-optimized LaSmCd structure, as listed in OQMD via LeMat-Bulk.

Its total magnetic moment is 0.0 μB per cell. Its crystal system is cubic. The relative energy among the computed polymorphs comes out at 0.0 kJ per mole of atoms. As for the formation energy: 0.295 eV/atom.

The space group is F-43m (No. 216) and the conventional cell measures 7.287, 7.287 and 7.287 Å, with angles of 90.00, 90.00 and 90.00 degrees. The asymmetric unit holds La at (0.000, 0.000, 0.000), Sm at (0.250, 0.250, 0.750) and Cd at (0.000, 0.000, 0.500).